First-principles (GGA-PBE) data for an optimized crystal structure of Mg3CuSe3, as listed in Alexandria.

Summary:
Distance to the lowest polymorph of the same formula (meV per atom): 0
ΔE_f (raw) (kJ/mol of formula units): -508
DOS at the Fermi energy (states/eV/cell): 1.77

Cell: 8.0238 8.0238 5.4133 Å, 90.00 90.00 120.00°
Space group P6_3/m (No. 176)
Asymmetric unit:
Mg 0.0829 0.4080 0.2500
Cu 0.3333 0.6667 0.7500
Se 0.0643 0.3457 0.7500

First-principles (GGA-PBE) data for an optimized crystal structure of Mg3Cu3Se, as listed in Alexandria.

Summary:
Distance to the lowest polymorph of the same formula (meV per atom): 0
ΔE_f (raw) (kJ/mol of formula units): -204
DOS at the Fermi energy (states/eV/cell): 3.32

Cell: 6.565 3.786 10.329 Å, 90.00 104.86 90.00°
Space group P2_1/m (No. 11)
Asymmetric unit:
Mg 0.008 0.250 0.115
Mg 0.185 0.250 0.672
Mg 0.405 0.250 0.347
Cu 0.291 0.250 0.958
Cu 0.350 0.750 0.124
Cu 0.393 0.750 0.844
Se 0.226 0.750 0.464

First-principles (GGA-PBE) data for an optimized crystal structure of MgCuSe, as listed in Alexandria.

Summary:
Distance to the lowest polymorph of the same formula (meV per atom): 235
ΔE_f (raw) (kJ/mol of formula units): -81

Cell: 4.972 5.036 10.725 Å, 90.00 90.00 90.00°
Space group Immm (No. 71)
Asymmetric unit:
Mg 0.000 0.000 0.246
Cu 0.000 0.500 0.392
Se 0.000 0.500 0.162

First-principles (GGA-PBE) data for an optimized crystal structure of MgCu8Se4, as listed in Alexandria.

Summary:
Distance to the lowest polymorph of the same formula (meV per atom): 0
ΔE_f (raw) (kJ/mol of formula units): -80
DOS at the Fermi energy (states/eV/cell): 4.84

Cell: 10.505 10.505 3.777 Å, 90.00 90.00 90.00°
Space group I4/m (No. 87)
Asymmetric unit:
Mg 0.000 0.000 0.000
Cu 0.037 0.614 0.000
Cu 0.184 0.700 0.500
Se 0.060 0.221 0.500

First-principles (GGA-PBE) data for an optimized crystal structure of Mg2Cu2Se, as listed in Alexandria.

Summary:
Distance to the lowest polymorph of the same formula (meV per atom): 147
ΔE_f (raw) (kJ/mol of formula units): -90
DOS at the Fermi energy (states/eV/cell): 2.31

Cell: 3.795 18.593 5.040 Å, 90.00 90.00 90.00°
Space group Cmc2_1 (No. 36)
Asymmetric unit:
Mg 0.000 0.070 0.000
Mg 0.000 0.272 0.746
Cu 0.000 0.338 0.275
Cu 0.000 0.471 0.106
Se 0.000 0.125 0.478

First-principles (GGA-PBE) data for an optimized crystal structure of MgCuSe2, as listed in Alexandria.

Summary:
ΔE_f (raw) (kJ/mol of formula units): -129
DOS at the Fermi energy (states/eV/cell): 4.18

Cell: 7.338 7.025 4.081 Å, 90.00 118.11 90.00°
Space group C2/m (No. 12)
Asymmetric unit:
Mg 0.000 0.000 0.000
Cu 0.000 0.500 0.000
Se 0.250 0.250 0.000

First-principles (GGA-PBE) data for an optimized crystal structure of MgCu2Se, as listed in Alexandria.

Summary:
Distance to the lowest polymorph of the same formula (meV per atom): 180
ΔE_f (raw) (kJ/mol of formula units): -8
DOS at the Fermi energy (states/eV/cell): 4.17

Cell: 4.044 4.044 15.366 Å, 90.00 90.00 90.00°
Space group I4/mmm (No. 139)
Asymmetric unit:
Mg 0.000 0.500 0.250
Cu 0.000 0.000 0.116
Cu 0.000 0.500 0.000
Se 0.000 0.000 0.386

First-principles (GGA-PBE) data for an optimized crystal structure of Mg4CuSe, as listed in Alexandria.

Summary:
Distance to the lowest polymorph of the same formula (meV per atom): 404
ΔE_f (raw) (kJ/mol of formula units): 118
DOS at the Fermi energy (states/eV/cell): 12.09

Cell: 8.023 8.023 8.023 Å, 90.00 90.00 90.00°
Space group F-43m (No. 216)
Asymmetric unit:
Mg 0.125 0.125 0.125
Cu 0.000 0.000 0.500
Se 0.250 0.250 0.750

First-principles (GGA-PBE) data for an optimized crystal structure of Mg2Cu2Se, as listed in Alexandria.

Summary:
Distance to the lowest polymorph of the same formula (meV per atom): 315
ΔE_f (raw) (kJ/mol of formula units): -9
DOS at the Fermi energy (states/eV/cell): 3.51

Cell: 6.983 6.983 3.839 Å, 90.00 90.00 90.00°
Space group P4/mbm (No. 127)
Asymmetric unit:
Mg 0.159 0.341 0.000
Cu 0.124 0.624 0.500
Se 0.000 0.000 0.000

First-principles (GGA-PBE) data for an optimized crystal structure of MgCu2Se, as listed in Alexandria.

Summary:
Distance to the lowest polymorph of the same formula (meV per atom): 241
ΔE_f (raw) (kJ/mol of formula units): 15
DOS at the Fermi energy (states/eV/cell): 1.08

Cell: 4.3977 4.3977 8.0712 Å, 90.00 90.00 120.00°
Space group P6_3/mmc (No. 194)
Asymmetric unit:
Mg 0.0000 0.0000 0.0000
Cu 0.3333 0.6667 0.0922
Se 0.3333 0.6667 0.7500

First-principles (GGA-PBE) data for an optimized crystal structure of Mg4CuSe2, as listed in Alexandria.

Summary:
Distance to the lowest polymorph of the same formula (meV per atom): 72
ΔE_f (raw) (kJ/mol of formula units): -320
DOS at the Fermi energy (states/eV/cell): 6.54

Cell: 4.4999 4.4999 28.5508 Å, 90.00 90.00 120.00°
Space group R-3m (No. 166, hexagonal axes)
Asymmetric unit:
Mg 0.0000 0.0000 0.1233
Mg 0.0000 0.0000 0.3602
Cu 0.0000 0.0000 0.0000
Se 0.0000 0.0000 0.2190

First-principles (GGA-PBE) data for an optimized crystal structure of Mg2Cu2Se, as listed in Alexandria.

Summary:
Distance to the lowest polymorph of the same formula (meV per atom): 0
ΔE_f (raw) (kJ/mol of formula units): -161
DOS at the Fermi energy (states/eV/cell): 5.71

Cell: 12.336 4.204 6.896 Å, 90.00 90.00 90.00°
Space group Cmcm (No. 63)
Asymmetric unit:
Mg 0.140 0.000 0.000
Cu 0.196 0.491 0.250
Se 0.000 0.316 0.250